1.
First-principles (GGA-PBE) data for an optimized crystal structure of Pr6Y2HoMg, as listed in Alexandria.

a = 8.6960 Å, b = 8.6960 Å, c = 9.4701 Å
α = 95.98°, β = 95.98°, γ = 105.27°
Last column: nearest neighbours and their distance in Å.
Positions (direct):
Pr 0.0388 0.4653 0.6721  1 Ho 3.30, 1 Mg 3.30, 3 Pr 3.41-3.58, 2 Y 3.57
Pr 0.0655 0.8260 0.9037  2 Mg 3.25-3.42, 3 Pr 3.31-3.58, 2 Y 3.58-3.61
Pr 0.1740 0.9345 0.5963  2 Mg 3.25-3.42, 3 Pr 3.31-3.58, 2 Y 3.58-3.61
Pr 0.2451 0.5781 0.0784  2 Y 3.43-3.82, 3 Pr 3.44-3.57, 2 Ho 3.65-3.67, 1 Mg 3.70
Pr 0.4219 0.7549 0.4216  2 Y 3.43-3.82, 3 Pr 3.44-3.57, 2 Ho 3.65-3.67, 1 Mg 3.70
Pr 0.4653 0.0388 0.1721  1 Ho 3.30, 1 Mg 3.30, 3 Pr 3.41-3.58, 2 Y 3.57
Pr 0.5347 0.9612 0.8279  1 Ho 3.30, 1 Mg 3.30, 3 Pr 3.41-3.58, 2 Y 3.57
Pr 0.5781 0.2451 0.5784  2 Y 3.43-3.82, 3 Pr 3.44-3.57, 2 Ho 3.65-3.67, 1 Mg 3.70
Pr 0.7549 0.4219 0.9216  2 Y 3.43-3.82, 3 Pr 3.44-3.57, 2 Ho 3.65-3.67, 1 Mg 3.70
Pr 0.8260 0.0655 0.4037  2 Mg 3.25-3.42, 3 Pr 3.31-3.58, 2 Y 3.58-3.61
Pr 0.9345 0.1740 0.0963  2 Mg 3.25-3.42, 3 Pr 3.31-3.58, 2 Y 3.58-3.61
Pr 0.9612 0.5347 0.3279  1 Ho 3.30, 1 Mg 3.30, 3 Pr 3.41-3.58, 2 Y 3.57
Y 0.2350 0.3023 0.4049  2 Ho 3.35-3.76, 5 Pr 3.43-3.61, 1 Mg 3.46
Y 0.3023 0.2350 0.9049  2 Ho 3.35-3.76, 5 Pr 3.43-3.61, 1 Mg 3.46
Y 0.6977 0.7650 0.0951  2 Ho 3.35-3.76, 5 Pr 3.43-3.61, 1 Mg 3.46
Y 0.7650 0.6977 0.5951  2 Ho 3.35-3.76, 5 Pr 3.43-3.61, 1 Mg 3.46
Ho 0.4339 0.5661 0.7500  6 Pr 3.30-3.67, 2 Y 3.35
Ho 0.5661 0.4339 0.2500  6 Pr 3.30-3.67, 2 Y 3.35
Mg 0.0965 0.9035 0.2500  6 Pr 3.25-3.42, 2 Y 3.46
Mg 0.9035 0.0965 0.7500  6 Pr 3.25-3.42, 2 Y 3.46



2.
First-principles (GGA-PBE) data for an optimized crystal structure of CuReNi, as listed in Alexandria.

a = 5.7688 Å, b = 5.7688 Å, c = 5.7688 Å
α = 153.48°, β = 153.48°, γ = 37.86°
Last column: nearest neighbours and their distance in Å.
Positions (direct):
Cu 0.0000 0.0000 0.0000  4 Ni 2.58, 4 Cu 2.65, 4 Re 2.70
Re 0.6788 0.6788 0.0000  4 Ni 2.55, 4 Re 2.65, 4 Cu 2.70
Ni 0.3378 0.3378 0.0000  4 Re 2.55, 4 Cu 2.58, 4 Ni 2.65



no.,formation energy (eV/atom)
1,0.104
2,0.166